Record 1
Density functional theory data (PBE-GGA) for crystalline YThPd3 at its relaxed geometry.

Cell lengths 4.689, 5.820, 8.091 Å; angles 90.00, 90.00, 90.00 degrees
Sites, in units of the cell vectors:
Pd 0.500 0.761 0.749
Th 0.000 0.000 0.559
Pd 0.000 0.000 0.911
Y 0.500 0.000 0.117
Pd 0.000 0.739 0.251
Y 0.000 0.500 0.883
Pd 0.000 0.261 0.251
Pd 0.500 0.239 0.749
Pd 0.500 0.500 0.089
Th 0.500 0.500 0.441

Properties
Space group: No. 59
E_form (eV per atom): -0.80
Crystal system: orthorhombic

=====

Record 2
Density functional theory data (PBE-GGA) for crystalline KCr2In at its relaxed geometry.

Cell lengths 5.553, 5.553, 10.343 Å; angles 74.43, 74.43, 90.00 degrees
Site moments in Bohr magnetons follow the coordinates.
Sites, in units of the cell vectors:
In 0.000 0.000 0.000  -0.13
K 0.500 0.500 0.000  0.00
Cr 0.875 0.125 0.250  3.94
Cr 0.875 0.125 0.750  3.92
K 0.250 0.750 0.500  0.00
Cr 0.375 0.125 0.750  3.92
Cr 0.875 0.625 0.250  3.94
In 0.750 0.250 0.500  -0.13

Properties
Space group: No. 141
E_form (eV per atom): 1.04
Crystal system: tetragonal

=====

Record 3
Density functional theory data (PBE-GGA) for crystalline BaMnHg2C at its relaxed geometry.

Cell lengths 4.815, 5.534, 4.815 Å; angles 90.00, 90.00, 90.00 degrees
Site moments in Bohr magnetons follow the coordinates.
Sites, in units of the cell vectors:
C 0.000 0.000 0.000  0.03
Ba 0.000 0.500 0.000  -0.06
Hg 0.000 0.000 0.500  0.00
Hg 0.500 0.000 0.000  0.00
Mn 0.500 0.500 0.500  4.17

Properties
Space group: No. 123
E_form (eV per atom): 1.00
Crystal system: tetragonal

=====

Record 4
Density functional theory data (PBE-GGA) for crystalline Pr3HoSb4 at its relaxed geometry.

Cell lengths 7.813, 7.809, 9.042 Å; angles 90.00, 90.00, 109.51 degrees
Sites, in units of the cell vectors:
Ho 0.250 0.000 0.124
Sb 0.000 0.758 0.879
Pr 0.750 0.500 0.124
Pr 0.750 0.500 0.626
Sb 0.496 0.246 0.371
Sb 0.996 0.246 0.629
Sb 0.004 0.754 0.371
Pr 0.250 0.000 0.626
Sb 0.504 0.754 0.629
Sb 0.500 0.242 0.879
Sb 0.000 0.242 0.121
Pr 0.250 0.500 0.374
Pr 0.250 0.500 0.876
Pr 0.750 0.000 0.374
Ho 0.750 0.000 0.876
Sb 0.500 0.758 0.121

Properties
Raw total energy (hartree per atom): -0.205
Space group: No. 13
Crystal system: monoclinic

=====

Record 5
Density functional theory data (PBE-GGA) for crystalline RbSrTmBr6 at its relaxed geometry.

Cell lengths 7.690, 7.690, 14.703 Å; angles 90.00, 90.00, 120.00 degrees
Sites, in units of the cell vectors:
Sr 0.333 0.667 0.250
Br 0.643 0.615 0.140
Br 0.615 0.972 0.860
Sr 0.667 0.333 0.750
Br 0.972 0.615 0.360
Rb 0.000 0.000 0.000
Br 0.357 0.972 0.640
Br 0.385 0.028 0.140
Br 0.972 0.357 0.140
Br 0.615 0.643 0.640
Br 0.357 0.385 0.860
Tm 0.333 0.667 0.750
Tm 0.667 0.333 0.250
Br 0.028 0.643 0.860
Br 0.028 0.385 0.640
Br 0.385 0.357 0.360
Rb 0.000 0.000 0.500
Br 0.643 0.028 0.360

Properties
Raw total energy (hartree per atom): -0.142
Space group: No. 163
Crystal system: trigonal

=====

Record 6
Density functional theory data (PBE-GGA) for crystalline KCe2Pb3 at its relaxed geometry.

Cell lengths 4.226, 4.226, 11.206 Å; angles 90.00, 90.00, 90.00 degrees
Site moments in Bohr magnetons follow the coordinates.
Sites, in units of the cell vectors:
Ce 0.500 0.500 0.876  0.81
K 0.500 0.500 0.500  0.00
Pb 0.000 0.000 0.711  0.01
Pb 0.000 0.000 0.000  -0.02
Ce 0.500 0.500 0.124  0.81
Pb 0.000 0.000 0.289  0.01

Properties
Space group: No. 123
E_form (eV per atom): -0.29
Crystal system: tetragonal

=====

Record 7
Density functional theory data (PBE-GGA) for crystalline Mg4H2Ir at its relaxed geometry.

Cell lengths 5.648, 4.660, 4.593 Å; angles 86.12, 114.34, 91.61 degrees
Sites, in units of the cell vectors:
H 0.711 0.149 0.599
Ir 0.715 0.879 0.864
Mg 0.434 0.380 0.725
Mg 0.419 0.879 0.215
H 0.719 0.610 0.130
Mg 0.010 0.881 0.512
Mg 0.996 0.380 0.002

Properties
Raw total energy (hartree per atom): -0.125
Space group: No. 2
Crystal system: triclinic

=====

Record 8
Density functional theory data (PBE-GGA) for crystalline CdSeI2 at its relaxed geometry.

Cell lengths 8.332, 8.332, 7.278 Å; angles 55.08, 55.08, 90.00 degrees
Site moments in Bohr magnetons follow the coordinates.
Sites, in units of the cell vectors:
I 0.671 0.125 0.250  0.14
Cd 0.750 0.250 0.500  0.02
I 0.079 0.625 0.250  0.13
Cd 0.000 0.000 0.000  0.02
Se 0.250 0.750 0.500  0.96
I 0.875 0.921 0.750  0.13
I 0.375 0.329 0.750  0.14
Se 0.500 0.500 0.000  0.96

Properties
Raw total energy (hartree per atom): -0.064
Space group: No. 122
Crystal system: tetragonal

=====

Record 9
Density functional theory data (PBE-GGA) for crystalline ErSeO3F at its relaxed geometry.

Cell lengths 6.957, 6.613, 7.210 Å; angles 81.69, 90.00, 90.00 degrees
Sites, in units of the cell vectors:
F 0.620 0.834 0.027
O 0.312 0.483 0.639
O 0.529 0.827 0.647
Se 0.879 0.351 0.711
Er 0.358 0.139 0.675
Er 0.858 0.861 0.825
O 0.809 0.174 0.222
Se 0.121 0.649 0.289
O 0.812 0.517 0.861
O 0.188 0.483 0.139
O 0.471 0.173 0.353
Er 0.142 0.139 0.175
Er 0.642 0.861 0.325
Se 0.379 0.649 0.789
Se 0.621 0.351 0.211
O 0.029 0.173 0.853
F 0.380 0.166 0.973
O 0.971 0.827 0.147
O 0.309 0.826 0.278
F 0.880 0.834 0.527
O 0.191 0.826 0.778
O 0.688 0.517 0.361
F 0.120 0.166 0.473
O 0.691 0.174 0.722

Properties
Raw total energy (hartree per atom): -0.240
Space group: No. 14
Crystal system: monoclinic

=====

Record 10
Density functional theory data (PBE-GGA) for crystalline PPt2Se at its relaxed geometry.

Cell lengths 4.492, 4.492, 4.492 Å; angles 60.00, 60.00, 60.00 degrees
Sites, in units of the cell vectors:
Se 0.500 0.500 0.500
P 0.000 0.000 0.000
Pt 0.750 0.750 0.750
Pt 0.250 0.250 0.250

Properties
Raw total energy (hartree per atom): -0.187
Space group: No. 225
Crystal system: cubic

=====

Record 11
Density functional theory data (PBE-GGA) for crystalline K2ZrTcO6 at its relaxed geometry.

Cell lengths 4.194, 5.729, 5.729 Å; angles 90.00, 90.00, 90.00 degrees
Site moments in Bohr magnetons follow the coordinates.
Sites, in units of the cell vectors:
Tc 0.595 0.000 0.000  0.24
K 0.140 0.000 0.500  0.00
K 0.140 0.500 0.000  0.00
O 0.649 0.765 0.765  0.01
O 0.649 0.765 0.235  0.01
O 0.168 0.000 0.000  0.02
Zr 0.657 0.500 0.500  0.02
O 0.649 0.235 0.235  0.01
O 0.153 0.500 0.500  0.00
O 0.649 0.235 0.765  0.01

Properties
Raw total energy (hartree per atom): -0.264
Space group: No. 99
Crystal system: tetragonal

=====

Record 12
Density functional theory data (PBE-GGA) for crystalline Li2CdIr at its relaxed geometry.

Cell lengths 4.840, 4.840, 4.622 Å; angles 73.55, 73.55, 37.14 degrees
Sites, in units of the cell vectors:
Li 0.989 0.989 0.032
Li 0.511 0.511 0.468
Ir 0.250 0.250 0.250
Cd 0.750 0.750 0.750

Properties
Space group: No. 12
E_form (eV per atom): -0.10
Crystal system: monoclinic